Compound: PuInSnAu
Source: Alexandria via LeMat-Bulk
Functional: GGA-PBE
Structure: optimized geometry

## Properties
* uncorrected energy: -6.389 eV per atom
* calculated volume: 95.40 Å³/f.u.
* symmetry: Pmmm (47)
* distance to the lowest polymorph of the same formula: 0 meV/atom
* energy of formation from the pure elements: -29.1 kJ per mole of atoms

```
data_PuInSnAu
_cell_length_a 4.4473
_cell_length_b 4.5567
_cell_length_c 4.7075
_cell_angle_alpha 90.00
_cell_angle_beta 90.00
_cell_angle_gamma 90.00
_symmetry_space_group_name_H-M 'P 1'
_symmetry_Int_Tables_number 1
loop_
_symmetry_equiv_pos_as_xyz
'x,y,z'
loop_
_atom_site_label
_atom_site_type_symbol
_atom_site_fract_x
_atom_site_fract_y
_atom_site_fract_z
Pu1 Pu 0.0000 0.0000 0.0000
In1 In 0.0000 0.5000 0.5000
Sn1 Sn 0.5000 0.5000 0.0000
Au1 Au 0.5000 0.0000 0.5000
```

=====

Compound: Ta3Re2Tc
Source: Alexandria via LeMat-Bulk
Functional: GGA-PBE
Structure: optimized geometry

## Properties
* uncorrected energy: -12.250 eV per atom
* calculated volume: 98.02 Å³/f.u.
* symmetry: P4/mmm (123)
* energy of formation from the pure elements: -43.1 kJ per mole of atoms

```
data_Ta3Re2Tc
_cell_length_a 3.1970
_cell_length_b 3.1970
_cell_length_c 9.5902
_cell_angle_alpha 90.00
_cell_angle_beta 90.00
_cell_angle_gamma 90.00
_symmetry_space_group_name_H-M 'P 1'
_symmetry_Int_Tables_number 1
loop_
_symmetry_equiv_pos_as_xyz
'x,y,z'
loop_
_atom_site_label
_atom_site_type_symbol
_atom_site_fract_x
_atom_site_fract_y
_atom_site_fract_z
Ta1 Ta 0.0000 0.0000 0.0000
Ta2 Ta 0.0000 0.0000 0.3340
Ta3 Ta 0.0000 0.0000 0.6660
Re1 Re 0.5000 0.5000 0.1674
Re2 Re 0.5000 0.5000 0.8326
Tc1 Tc 0.5000 0.5000 0.5000
```

=====

Compound: BaIn4Ag4
Source: Alexandria via LeMat-Bulk
Functional: GGA-PBE
Structure: optimized geometry

## Properties
* uncorrected energy: -2.814 eV per atom
* calculated volume: 241.98 Å³/f.u.
* symmetry: P4_2/n (86)
* distance to the lowest polymorph of the same formula: 52 meV/atom
* energy of formation from the pure elements: -11.2 kJ per mole of atoms

```
data_BaIn4Ag4
_cell_length_a 9.5843
_cell_length_b 9.5843
_cell_length_c 5.2684
_cell_angle_alpha 90.00
_cell_angle_beta 90.00
_cell_angle_gamma 90.00
_symmetry_space_group_name_H-M 'P 1'
_symmetry_Int_Tables_number 1
loop_
_symmetry_equiv_pos_as_xyz
'x,y,z'
loop_
_atom_site_label
_atom_site_type_symbol
_atom_site_fract_x
_atom_site_fract_y
_atom_site_fract_z
Ba1 Ba 0.2500 0.2500 0.2500
Ba2 Ba 0.7500 0.7500 0.7500
In1 In 0.1344 0.8593 0.7349
In2 In 0.1407 0.6344 0.2349
In3 In 0.3593 0.8656 0.2349
In4 In 0.3656 0.6407 0.7349
In5 In 0.6344 0.3593 0.2651
In6 In 0.6407 0.1344 0.7651
In7 In 0.8593 0.3656 0.7651
In8 In 0.8656 0.1407 0.2651
Ag1 Ag 0.0433 0.9170 0.2358
Ag2 Ag 0.0830 0.5433 0.7358
Ag3 Ag 0.4170 0.9567 0.7358
Ag4 Ag 0.4567 0.5830 0.2358
Ag5 Ag 0.5433 0.4170 0.7642
Ag6 Ag 0.5830 0.0433 0.2642
Ag7 Ag 0.9170 0.4567 0.2642
Ag8 Ag 0.9567 0.0830 0.7642
```